NaTlFeCl5 (PBE, optimized geometry); magnetization = 9.887 μB per cell; ρ = 3.01 g cm⁻³; VASP energy = -30.20 eV per formula unit; V = 508.6 Å³/cell
1.0
7.754 0.108 0.045
-2.160 7.448 0.045
-2.298 -3.104 8.735
Na Tl Fe Cl
2 2 2 10
direct
0.000 0.000 0.500 Na
0.000 0.000 0.000 Na
0.316 0.684 0.250 Tl
0.684 0.316 0.750 Tl
0.675 0.325 0.250 Fe
0.325 0.675 0.750 Fe
0.087 0.913 0.250 Cl
0.913 0.087 0.750 Cl
0.895 0.338 0.136 Cl
0.105 0.662 0.864 Cl
0.662 0.105 0.364 Cl
0.338 0.895 0.636 Cl
0.737 0.595 0.427 Cl
0.263 0.405 0.573 Cl
0.405 0.263 0.073 Cl
0.595 0.737 0.927 Cl

SrCa2V (PBE, optimized geometry); polymorph energy (0 for the lowest one) = 0.00 eV/f.u.; magnetization = 4.469 μB per cell; DFT formation energy = 0.542 eV/atom; ρ = 2.60 g cm⁻³; V = 139.8 Å³/cell
1.0
-4.964 -2.290 2.014
-4.018 3.443 2.437
-5.019 1.033 -2.771
Sr Ca V
1 2 1
direct
0.500 0.500 0.500 Sr
0.250 0.250 0.250 Ca
0.750 0.750 0.750 Ca
0.000 0.000 0.000 V

LaZnCo (PBE, optimized geometry); magnetization = 0.000 μB per cell; DFT formation energy = -0.146 eV/atom; ρ = 6.99 g cm⁻³; V = 62.6 Å³/cell
1.0
-0.421 -0.879 -4.128
3.425 -1.337 2.114
-1.902 -3.415 0.921
Zn Co La
1 1 1
direct
0.333 0.667 0.833 Zn
0.000 0.000 0.833 Co
0.667 0.333 0.333 La